(1)
MnAsOs2 | PBE-GGA | optimized geometry

Its crystal system is tetragonal. The value obtained for the mass density is 15740 kg/m³. The calculation puts the calculated volume at 13.46 Å³/atom. The value obtained for the spin magnetization is 0.000 μB per formula unit. As for the energy relative to the elements: 232 meV/atom.

It has space group P4mm (No. 99), with a = 2.851 Å, b = 2.851 Å, c = 6.622 Å, α = 90.00°, β = 90.00° and γ = 90.00°. Symmetry generates all atoms from Mn at (0.000, 0.000, 0.000), As at (0.500, 0.500, 0.800), Os at (0.000, 0.000, 0.541) and Os at (0.500, 0.500, 0.270).



(2)
Ho2MgSn2Rh5 | PBE-GGA | optimized geometry

Its crystal system is tetragonal. The value obtained for the mass density is 9690 kg/m³. The calculation puts the calculated volume at 18.96 Å³/atom. The value obtained for the spin magnetization is 0.000 μB per formula unit. As for the energy relative to the elements: -562 meV/atom.

It has space group P4/mbm (No. 127), with a = 10.125 Å, b = 10.125 Å, c = 3.698 Å, α = 90.00°, β = 90.00° and γ = 90.00°. Symmetry generates all atoms from Ho at (0.169, 0.331, 0.000), Mg at (0.000, 0.000, 0.000), Sn at (0.130, 0.630, 0.000), Rh at (0.000, 0.500, 0.500) and Rh at (0.059, 0.800, 0.500).



(3)
BeNi3Ge | PBE-GGA | optimized geometry

Its crystal system is hexagonal. The offset from the most stable computed form is 0 meV/atom. The value obtained for the mass density is 7541 kg/m³. The calculation puts the calculated volume at 11.35 Å³/atom. The value obtained for the spin magnetization is 0.000 μB per formula unit. As for the energy relative to the elements: -103 meV/atom.

It has space group P6_3/mmc (No. 194), with a = 5.7656 Å, b = 5.7656 Å, c = 3.9425 Å, α = 90.00°, β = 90.00° and γ = 120.00°. Symmetry generates all atoms from Be at (0.0000, 0.0000, 0.0000), Ni at (0.1887, 0.3773, 0.2500) and Ge at (0.3333, 0.6667, 0.7500).



(4)
Rb2PaSiN4 | PBE-GGA | optimized geometry

Its crystal system is orthorhombic. The value obtained for the mass density is 5135 kg/m³. The calculation puts the calculated volume at 19.65 Å³/atom. The formation energy without anion corrections comes out at -0.612 eV per atom. The value obtained for the spin magnetization is 0.000 μB per formula unit.

It has space group Pmmn (No. 59, origin choice 2), with a = 6.309 Å, b = 6.846 Å, c = 7.280 Å, α = 90.00°, β = 90.00° and γ = 90.00°. Symmetry generates all atoms from Rb at (0.250, 0.002, 0.197), Pa at (0.250, 0.250, 0.647), Si at (0.250, 0.750, 0.662), N at (0.020, 0.750, 0.523) and N at (0.250, 0.530, 0.788).



(5)
LaCoRe2 | PBE-GGA | optimized geometry

Its crystal system is trigonal. The offset from the most stable computed form is 532 meV/atom. The value obtained for the mass density is 13976 kg/m³. The calculation puts the calculated volume at 16.94 Å³/atom. The value obtained for the spin magnetization is 0.970 μB per formula unit. As for the energy relative to the elements: 699 meV/atom.

It has space group R-3m (No. 166, hexagonal axes), with a = 2.8168 Å, b = 2.8168 Å, c = 29.5801 Å, α = 90.00°, β = 90.00° and γ = 120.00°. Symmetry generates all atoms from La at (0.0000, 0.0000, 0.0000), Co at (0.0000, 0.0000, 0.5000) and Re at (0.0000, 0.0000, 0.2345).



(6)
PmNdHo4Er2 | PBE-GGA | optimized geometry

Its crystal system is monoclinic. The value obtained for the mass density is 8061 kg/m³. The calculation puts the calculated volume at 33.05 Å³/atom. The value obtained for the spin magnetization is 2.848 μB per formula unit. As for the energy relative to the elements: 432 meV/atom.

It has space group C2/c (No. 15), with a = 13.582 Å, b = 13.245 Å, c = 6.785 Å, α = 90.00°, β = 119.96° and γ = 90.00°. Symmetry generates all atoms from Pm at (0.250, 0.250, 0.000), Nd at (0.000, 0.000, 0.000), Ho at (0.000, 0.254, 0.001), Ho at (0.246, 0.498, 0.494), Er at (0.000, 0.500, 0.000) and Er at (0.250, 0.250, 0.500).



(7)
RePCCl2 | PBE-GGA | optimized geometry

Its crystal system is tetragonal. The offset from the most stable computed form is 248 meV/atom. The value obtained for the mass density is 7271 kg/m³. The calculation puts the calculated volume at 13.71 Å³/atom. The formation energy without anion corrections comes out at 1.889 eV per atom. The value obtained for the spin magnetization is 0.000 μB per formula unit.

It has space group P4/mmm (No. 123), with a = 4.109 Å, b = 4.109 Å, c = 4.058 Å, α = 90.00°, β = 90.00° and γ = 90.00°. Symmetry generates all atoms from Re at (0.000, 0.000, 0.000), P at (0.500, 0.500, 0.000), C at (0.500, 0.500, 0.500) and Cl at (0.000, 0.500, 0.500).



(8)
Pu3PdC | PBE-GGA | optimized geometry

Its crystal system is cubic. The value obtained for the mass density is 12891 kg/m³. The calculation puts the calculated volume at 21.91 Å³/atom. The value obtained for the spin magnetization is 16.419 μB per formula unit. As for the energy relative to the elements: -20 meV/atom.

It has space group Pm-3m (No. 221), with a = 4.785 Å, b = 4.785 Å, c = 4.785 Å, α = 90.00°, β = 90.00° and γ = 90.00°. Symmetry generates all atoms from Pu at (0.000, 0.000, 0.500), Pd at (0.500, 0.500, 0.500) and C at (0.000, 0.000, 0.000).



(9)
YBe2AlF | PBE-GGA | optimized geometry

Its crystal system is tetragonal. The value obtained for the mass density is 3232 kg/m³. The calculation puts the calculated volume at 15.71 Å³/atom. The formation energy without anion corrections comes out at -0.339 eV per atom. The value obtained for the spin magnetization is 0.000 μB per formula unit.

It has space group P4/mmm (No. 123), with a = 4.205 Å, b = 4.205 Å, c = 4.444 Å, α = 90.00°, β = 90.00° and γ = 90.00°. Symmetry generates all atoms from Y at (0.000, 0.000, 0.000), Be at (0.000, 0.500, 0.500), Al at (0.500, 0.500, 0.000) and F at (0.000, 0.000, 0.500).



(10)
BeFe2S | PBE-GGA | optimized geometry

Its crystal system is tetragonal. The offset from the most stable computed form is 330 meV/atom. The value obtained for the mass density is 5434 kg/m³. The calculation puts the calculated volume at 11.67 Å³/atom. The formation energy without anion corrections comes out at 0.340 eV per atom. The value obtained for the spin magnetization is 0.000 μB per formula unit.

It has space group I-42d (No. 122), with a = 6.443 Å, b = 6.443 Å, c = 4.498 Å, α = 90.00°, β = 90.00° and γ = 90.00°. Symmetry generates all atoms from Be at (0.000, 0.000, 0.000), Fe at (0.176, 0.250, 0.625) and S at (0.000, 0.000, 0.500).